{
  "formula": "Tl2GeBi",
  "functional": "PBE-GGA",
  "state": "optimized geometry",
  "cell": [[0.000, 3.848, 3.848], [3.848, 0.000, 3.848], [3.848, 3.848, 0.000]],
  "species": ["Tl", "Tl", "Ge", "Bi"],
  "fractional_positions": [[0.750, 0.750, 0.750], [0.250, 0.250, 0.250], [0.000, 0.000, 0.000], [0.500, 0.500, 0.500]],
  "mass_density_g_cm3": 10.06,
  "sg": "No. 225",
  "final_energy_ev_per_cell": -12.27,
  "crystal_system": "cubic",
  "n_ef_per_ev_cell": 2.8,
  "polymorph_energy_ev_per_atom": 0.000,
  "ef_mev_per_atom": 241
}


{
  "formula": "TeSe2Cl",
  "functional": "PBE-GGA",
  "state": "optimized geometry",
  "cell": [[1.920, 0.000, 9.964], [-0.960, 1.663, 9.964], [-0.960, -1.663, 9.964]],
  "species": ["Se", "Se", "Te", "Cl"],
  "fractional_positions": [[0.910, 0.910, 0.910], [0.090, 0.090, 0.090], [0.000, 0.000, 0.000], [0.500, 0.500, 0.500]],
  "mass_density_g_cm3": 5.58,
  "sg": "No. 166",
  "final_energy_ev_per_cell": -10.31,
  "raw_formation_energy_ev_per_atom": 0.412,
  "crystal_system": "trigonal",
  "n_ef_per_ev_cell": 3.3,
  "polymorph_energy_ev_per_atom": 0.555
}